A:
Compound: Y2PtW
Source: Alexandria via LeMat-Bulk
Functional: PBE-GGA
Structure: relaxed

Calculated values
DOS(E_F) (states/eV/atom): 1.283
Mass density (g/cm3): 10.589
Space group: Pmm2 (25)

a b c (Å): 3.063 4.782 5.960
angles (deg): 90.00 90.00 90.00
Fractional positions:
1 Y 0.000 0.000 0.000
2 Y 0.500 0.500 0.352
3 Pt 0.000 0.000 0.513
4 W 0.500 0.500 0.840

---

B:
Compound: Y2PtW
Source: Alexandria via LeMat-Bulk
Functional: PBE-GGA
Structure: relaxed

Calculated values
DOS(E_F) (states/eV/atom): 1.259
Mass density (g/cm3): 10.782
Space group: I-4m2 (119)

a b c (Å): 5.765 5.765 5.765
angles (deg): 137.72 137.72 61.33
Fractional positions:
1 Y 0.000 0.000 0.000
2 Y 0.750 0.250 0.500
3 Pt 0.250 0.750 0.500
4 W 0.500 0.500 0.000

---

C:
Compound: Y2PtW
Source: Alexandria via LeMat-Bulk
Functional: PBE-GGA
Structure: relaxed

Calculated values
DOS(E_F) (states/eV/atom): 1.078
Mass density (g/cm3): 10.737
Space group: P2/m (10)

a b c (Å): 3.359 3.620 7.082
angles (deg): 90.00 90.08 90.00
Fractional positions:
1 Y 0.000 0.000 0.244
2 Y 0.000 0.000 0.756
3 Pt 0.500 0.500 0.000
4 W 0.500 0.500 0.500

---

If we sort the structures by their calculated energies, the order from most to least stable is C, B, A.

---

A:
Compound: YPtW2
Source: Alexandria via LeMat-Bulk
Functional: PBE-GGA
Structure: relaxed

Calculated values
DOS(E_F) (states/eV/atom): 1.273
Mass density (g/cm3): 14.982
Space group: R3m (160)

a b c (Å): 10.082 10.082 10.082
angles (deg): 16.52 16.52 16.52
Fractional positions:
1 Y 0.000 0.000 0.000
2 Pt 0.754 0.754 0.754
3 W 0.242 0.242 0.242
4 W 0.495 0.495 0.495

---

B:
Compound: YPtW2
Source: Alexandria via LeMat-Bulk
Functional: PBE-GGA
Structure: relaxed

Calculated values
DOS(E_F) (states/eV/atom): 0.934
Mass density (g/cm3): 14.724
Space group: Pmmm (47)

a b c (Å): 3.465 4.327 4.902
angles (deg): 90.00 90.00 90.00
Fractional positions:
1 Y 0.000 0.000 0.000
2 Pt 0.500 0.500 0.000
3 W 0.000 0.500 0.500
4 W 0.500 0.000 0.500

---

If we sort the structures by their calculated energies, the order from most to least stable is B, A.

---

A:
Compound: YPtW2
Source: Alexandria via LeMat-Bulk
Functional: PBE-GGA
Structure: relaxed

Calculated values
DOS(E_F) (states/eV/atom): 0.938
Mass density (g/cm3): 14.923
Space group: P4mm (99)

a b c (Å): 2.854 2.854 8.905
angles (deg): 90.00 90.00 90.00
Fractional positions:
1 Y 0.000 0.000 0.000
2 Pt 0.500 0.500 0.266
3 W 0.000 0.000 0.474
4 W 0.500 0.500 0.720

---

B:
Compound: YPtW2
Source: Alexandria via LeMat-Bulk
Functional: PBE-GGA
Structure: relaxed

Calculated values
DOS(E_F) (states/eV/atom): 0.840
Mass density (g/cm3): 14.484
Space group: Imm2 (44)

a b c (Å): 5.374 5.374 5.374
angles (deg): 142.60 126.47 67.12
Fractional positions:
1 Y 0.000 0.000 0.000
2 Pt 0.267 0.767 0.500
3 W 0.515 0.515 0.000
4 W 0.726 0.226 0.500

---

C:
Compound: YPtW2
Source: Alexandria via LeMat-Bulk
Functional: PBE-GGA
Structure: relaxed

Calculated values
DOS(E_F) (states/eV/atom): 0.555
Mass density (g/cm3): 14.736
Space group: Cm (8)

a b c (Å): 5.058 5.058 5.411
angles (deg): 97.63 97.63 32.39
Fractional positions:
1 Y 0.000 0.000 0.000
2 Pt 0.250 0.250 0.795
3 W 0.532 0.532 0.499
4 W 0.774 0.774 0.326

---

If we sort the structures by their calculated energies, the order from most to least stable is A, B, C.

---

A:
Compound: YPtW2
Source: Alexandria via LeMat-Bulk
Functional: PBE-GGA
Structure: relaxed

Calculated values
DOS(E_F) (states/eV/atom): 0.717
Mass density (g/cm3): 14.664
Space group: Pmmm (47)

a b c (Å): 2.802 4.804 5.482
angles (deg): 90.00 90.00 90.00
Fractional positions:
1 Y 0.000 0.000 0.000
2 Pt 0.000 0.000 0.500
3 W 0.500 0.500 0.254
4 W 0.500 0.500 0.746

---

B:
Compound: YPtW2
Source: Alexandria via LeMat-Bulk
Functional: PBE-GGA
Structure: relaxed

Calculated values
DOS(E_F) (states/eV/atom): 0.990
Mass density (g/cm3): 14.685
Space group: P2/m (10)

a b c (Å): 2.869 5.104 5.063
angles (deg): 90.00 96.35 90.00
Fractional positions:
1 Y 0.000 0.000 0.000
2 Pt 0.500 0.000 0.500
3 W 0.315 0.500 0.754
4 W 0.685 0.500 0.246

---

If we sort the structures by their calculated energies, the order from most to least stable is B, A.

---

A:
Compound: YPtW2
Source: Alexandria via LeMat-Bulk
Functional: PBE-GGA
Structure: relaxed

Calculated values
DOS(E_F) (states/eV/atom): 0.825
Mass density (g/cm3): 14.645
Space group: Immm (71)

a b c (Å): 5.585 5.585 5.585
angles (deg): 143.25 134.27 60.05
Fractional positions:
1 Y 0.000 0.000 0.000
2 Pt 0.500 0.500 0.000
3 W 0.253 0.753 0.500
4 W 0.747 0.247 0.500

---

B:
Compound: YPtW2
Source: Alexandria via LeMat-Bulk
Functional: PBE-GGA
Structure: relaxed

Calculated values
DOS(E_F) (states/eV/atom): 0.794
Mass density (g/cm3): 14.994
Space group: F-43m (216)

a b c (Å): 4.673 4.673 4.673
angles (deg): 60.00 60.00 60.00
Fractional positions:
1 Y 0.000 0.000 0.000
2 Pt 0.750 0.750 0.750
3 W 0.250 0.250 0.250
4 W 0.500 0.500 0.500

---

C:
Compound: YPtW2
Source: Alexandria via LeMat-Bulk
Functional: PBE-GGA
Structure: relaxed

Calculated values
DOS(E_F) (states/eV/atom): 1.097
Mass density (g/cm3): 14.954
Space group: C2/m (12)

a b c (Å): 5.684 5.684 2.824
angles (deg): 100.02 100.02 121.87
Fractional positions:
1 Y 0.000 0.000 0.000
2 Pt 0.500 0.500 0.000
3 W 0.000 0.500 0.500
4 W 0.500 0.000 0.500

---

D:
Compound: YPtW2
Source: Alexandria via LeMat-Bulk
Functional: PBE-GGA
Structure: relaxed

Calculated values
DOS(E_F) (states/eV/atom): 0.914
Mass density (g/cm3): 14.658
Space group: C2/m (12)

a b c (Å): 5.473 5.473 4.799
angles (deg): 104.76 104.76 32.18
Fractional positions:
1 Y 0.000 0.000 0.000
2 Pt 0.500 0.500 0.500
3 W 0.234 0.234 0.726
4 W 0.766 0.766 0.274

---

If we sort the structures by their calculated energies, the order from most to least stable is B, D, A, C.

---

A:
Compound: YPtW2
Source: Alexandria via LeMat-Bulk
Functional: PBE-GGA
Structure: relaxed

Calculated values
DOS(E_F) (states/eV/atom): 0.948
Mass density (g/cm3): 14.871
Space group: Cmmm (65)

a b c (Å): 5.453 5.453 2.799
angles (deg): 90.00 90.00 119.06
Fractional positions:
1 Y 0.000 0.000 0.000
2 Pt 0.500 0.500 0.000
3 W 0.000 0.500 0.500
4 W 0.500 0.000 0.500

---

B:
Compound: YPtW2
Source: Alexandria via LeMat-Bulk
Functional: PBE-GGA
Structure: relaxed

Calculated values
DOS(E_F) (states/eV/atom): 0.820
Mass density (g/cm3): 13.752
Space group: I-42d (122)

a b c (Å): 11.031 11.031 11.031
angles (deg): 159.97 159.97 28.47
Fractional positions:
1 Y 0.000 0.000 0.000
2 Y 0.750 0.250 0.500
3 Pt 0.250 0.750 0.500
4 Pt 0.500 0.500 0.000
5 W 0.135 0.625 0.010
6 W 0.375 0.385 0.510
7 W 0.615 0.125 0.990
8 W 0.875 0.865 0.490

---

C:
Compound: YPtW2
Source: Alexandria via LeMat-Bulk
Functional: PBE-GGA
Structure: relaxed

Calculated values
DOS(E_F) (states/eV/atom): 0.875
Mass density (g/cm3): 14.374
Space group: Pmm2 (25)

a b c (Å): 3.268 3.297 6.987
angles (deg): 90.00 90.00 90.00
Fractional positions:
1 Y 0.000 0.000 0.000
2 Pt 0.500 0.500 0.725
3 W 0.000 0.000 0.488
4 W 0.500 0.500 0.298

---

If we sort the structures by their calculated energies, the order from most to least stable is C, A, B.